Record 1
# Sm12Dy2Y5 GGA-PBE optimized geometry
data_Sm12Dy2Y5
_cell_length_a 6.896
_cell_length_b 9.059
_cell_length_c 11.101
_cell_angle_alpha 108.06
_cell_angle_beta 93.59
_cell_angle_gamma 102.48
_space_group_name_H-M_alt 'P -1'
_space_group_IT_number 2
loop_
_space_group_symop_operation_xyz
'x,y,z'
'-x,-y,-z'
loop_
_atom_site_label
_atom_site_fract_x
_atom_site_fract_y
_atom_site_fract_z
Sm1 0.011 0.127 0.419
Sm2 0.043 0.082 0.900
Sm3 0.130 0.728 0.278
Sm4 0.360 0.249 0.229
Sm5 0.372 0.344 0.708
Sm6 0.476 0.885 0.108
Dy1 0.264 0.553 0.493
Y1 0.123 0.686 0.808
Y2 0.247 0.470 0.019
Y3 0.500 0.000 0.500
# **ΔE_f**: 0.10 eV per atom
# **Crystal system**: triclinic

Record 2
# Sm3Dy2Y8 GGA-PBE optimized geometry
data_Sm3Dy2Y8
_cell_length_a 20.172
_cell_length_b 7.702
_cell_length_c 5.677
_cell_angle_alpha 90.00
_cell_angle_beta 90.05
_cell_angle_gamma 90.00
_space_group_name_H-M_alt 'C 1 2/m 1'
_space_group_IT_number 12
loop_
_space_group_symop_operation_xyz
'x,y,z'
'-x,-y,-z'
'-x,y,-z'
'x,-y,z'
'x+1/2,y+1/2,z'
'-x+1/2,-y+1/2,-z'
'-x+1/2,y+1/2,-z'
'x+1/2,-y+1/2,z'
loop_
_atom_site_label
_atom_site_fract_x
_atom_site_fract_y
_atom_site_fract_z
Sm1 0.000 0.000 0.000
Sm2 0.000 0.289 0.500
Dy1 0.241 0.000 0.999
Y1 0.108 0.290 0.000
Y2 0.134 0.000 0.500
Y3 0.172 0.500 0.501
# **ΔE_f**: 0.25 eV per atom
# **Crystal system**: monoclinic

Record 3
# Sm5DyY2 GGA-PBE optimized geometry
data_Sm5DyY2
_cell_length_a 5.799
_cell_length_b 11.352
_cell_length_c 8.632
_cell_angle_alpha 90.00
_cell_angle_beta 106.41
_cell_angle_gamma 90.00
_space_group_name_H-M_alt 'P 1 21/m 1'
_space_group_IT_number 11
loop_
_space_group_symop_operation_xyz
'x,y,z'
'-x,-y,-z'
'-x,y+1/2,-z'
'x,-y+1/2,z'
loop_
_atom_site_label
_atom_site_fract_x
_atom_site_fract_y
_atom_site_fract_z
Sm1 0.167 0.078 0.212
Sm2 0.261 0.750 0.577
Sm3 0.304 0.079 0.622
Dy1 0.005 0.250 0.850
Y1 0.387 0.618 0.964
# **ΔE_f**: 0.18 eV per atom
# **E above lowest polymorph**: 163 meV/atom
# **Crystal system**: monoclinic

Record 4
# Sm12Dy5Y2 GGA-PBE optimized geometry
data_Sm12Dy5Y2
_cell_length_a 15.847
_cell_length_b 10.189
_cell_length_c 7.944
_cell_angle_alpha 90.00
_cell_angle_beta 91.15
_cell_angle_gamma 90.00
_space_group_name_H-M_alt 'C 1 2/m 1'
_space_group_IT_number 12
loop_
_space_group_symop_operation_xyz
'x,y,z'
'-x,-y,-z'
'-x,y,-z'
'x,-y,z'
'x+1/2,y+1/2,z'
'-x+1/2,-y+1/2,-z'
'-x+1/2,y+1/2,-z'
'x+1/2,-y+1/2,z'
loop_
_atom_site_label
_atom_site_fract_x
_atom_site_fract_y
_atom_site_fract_z
Sm1 0.051 0.000 0.208
Sm2 0.106 0.226 0.889
Sm3 0.155 0.500 0.621
Sm4 0.193 0.267 0.295
Dy1 0.000 0.500 0.000
Dy2 0.148 0.000 0.584
Dy3 0.246 0.500 0.990
Y1 0.000 0.265 0.500
# **ΔE_f**: 0.13 eV per atom
# **E above lowest polymorph**: 6 meV/atom
# **Crystal system**: monoclinic

Record 5
# Sm2DyY5 GGA-PBE optimized geometry
data_Sm2DyY5
_cell_length_a 9.000
_cell_length_b 19.805
_cell_length_c 6.361
_cell_angle_alpha 90.00
_cell_angle_beta 109.21
_cell_angle_gamma 90.00
_space_group_name_H-M_alt 'C 1 2 1'
_space_group_IT_number 5
loop_
_space_group_symop_operation_xyz
'x,y,z'
'-x,y,-z'
'x+1/2,y+1/2,z'
'-x+1/2,y+1/2,-z'
loop_
_atom_site_label
_atom_site_fract_x
_atom_site_fract_y
_atom_site_fract_z
Sm1 0.110 0.000 0.300
Sm2 0.200 0.825 0.164
Dy1 0.000 0.466 0.500
Dy2 0.000 0.568 0.000
Y1 0.000 0.141 0.000
Y2 0.000 0.848 0.500
Y3 0.087 0.294 0.284
Y4 0.110 0.702 0.788
Y5 0.204 0.150 0.622
Y6 0.214 0.442 0.132
# **ΔE_f**: 0.19 eV per atom
# **E above lowest polymorph**: 173 meV/atom
# **Crystal system**: monoclinic

Record 6
# Sm6Dy4Y GGA-PBE optimized geometry
data_Sm6Dy4Y
_cell_length_a 5.839
_cell_length_b 9.662
_cell_length_c 25.694
_cell_angle_alpha 90.00
_cell_angle_beta 90.00
_cell_angle_gamma 90.00
_space_group_name_H-M_alt 'C m c m'
_space_group_IT_number 63
_space_group_name_Hall '-C 2c 2'
loop_
_atom_site_label
_atom_site_fract_x
_atom_site_fract_y
_atom_site_fract_z
Sm1 0.000 0.000 0.000
Sm2 0.000 0.053 0.250
Sm3 0.000 0.296 0.603
Sm4 0.000 0.380 0.182
Dy1 0.000 0.047 0.123
Dy2 0.000 0.352 0.044
Y1 0.000 0.285 0.750
# **ΔE_f**: 0.12 eV per atom
# **E above lowest polymorph**: 0 meV/atom
# **Crystal system**: orthorhombic

Record 7
# Sm5Dy4Y2 GGA-PBE optimized geometry
data_Sm5Dy4Y2
_cell_length_a 11.960
_cell_length_b 7.003
_cell_length_c 9.648
_cell_angle_alpha 90.00
_cell_angle_beta 113.27
_cell_angle_gamma 90.00
_space_group_name_H-M_alt 'C 1 2/m 1'
_space_group_IT_number 12
loop_
_space_group_symop_operation_xyz
'x,y,z'
'-x,-y,-z'
'-x,y,-z'
'x,-y,z'
'x+1/2,y+1/2,z'
'-x+1/2,-y+1/2,-z'
'-x+1/2,y+1/2,-z'
'x+1/2,-y+1/2,z'
loop_
_atom_site_label
_atom_site_fract_x
_atom_site_fract_y
_atom_site_fract_z
Sm1 0.000 0.000 0.000
Sm2 0.108 0.265 0.321
Dy1 0.140 0.500 0.648
Dy2 0.149 0.500 0.997
Y1 0.128 0.000 0.656
# **ΔE_f**: 0.18 eV per atom
# **E above lowest polymorph**: 13 meV/atom
# **Crystal system**: monoclinic

Record 8
# Sm2DyY GGA-PBE optimized geometry
data_Sm2DyY
_cell_length_a 3.5952
_cell_length_b 3.5952
_cell_length_c 35.0361
_cell_angle_alpha 90.00
_cell_angle_beta 90.00
_cell_angle_gamma 120.00
_space_group_name_H-M_alt 'R -3 m'
_space_group_IT_number 166
_space_group_name_Hall '-R 3 2"'
loop_
_atom_site_label
_atom_site_fract_x
_atom_site_fract_y
_atom_site_fract_z
Sm1 0.0000 0.0000 0.2503
Dy1 0.0000 0.0000 0.0000
Y1 0.0000 0.0000 0.5000
# **ΔE_f**: 0.01 eV per atom
# **E above lowest polymorph**: 1 meV/atom
# **Crystal system**: trigonal

Record 9
# Sm2Dy8Y GGA-PBE optimized geometry
data_Sm2Dy8Y
_cell_length_a 18.851
_cell_length_b 7.012
_cell_length_c 5.580
_cell_angle_alpha 90.00
_cell_angle_beta 92.86
_cell_angle_gamma 90.00
_space_group_name_H-M_alt 'C 1 2/m 1'
_space_group_IT_number 12
loop_
_space_group_symop_operation_xyz
'x,y,z'
'-x,-y,-z'
'-x,y,-z'
'x,-y,z'
'x+1/2,y+1/2,z'
'-x+1/2,-y+1/2,-z'
'-x+1/2,y+1/2,-z'
'x+1/2,-y+1/2,z'
loop_
_atom_site_label
_atom_site_fract_x
_atom_site_fract_y
_atom_site_fract_z
Sm1 0.216 0.000 0.253
Dy1 0.046 0.000 0.236
Dy2 0.130 0.233 0.734
Dy3 0.186 0.500 0.233
Y1 0.000 0.500 0.000
# **ΔE_f**: 0.16 eV per atom
# **E above lowest polymorph**: 0 meV/atom
# **Crystal system**: monoclinic

Record 10
# Sm7Dy2Y GGA-PBE optimized geometry
data_Sm7Dy2Y
_cell_length_a 6.242
_cell_length_b 6.244
_cell_length_c 9.543
_cell_angle_alpha 109.08
_cell_angle_beta 102.60
_cell_angle_gamma 99.58
_space_group_name_H-M_alt 'P -1'
_space_group_IT_number 2
loop_
_space_group_symop_operation_xyz
'x,y,z'
'-x,-y,-z'
loop_
_atom_site_label
_atom_site_fract_x
_atom_site_fract_y
_atom_site_fract_z
Sm1 0.000 0.000 0.000
Sm2 0.001 0.399 0.801
Sm3 0.001 0.800 0.601
Sm4 0.499 0.400 0.299
Dy1 0.500 0.200 0.901
Y1 0.500 0.000 0.500
# **ΔE_f**: 0.02 eV per atom
# **E above lowest polymorph**: 0 meV/atom
# **Crystal system**: triclinic

Record 11
# Sm4Dy2Y GGA-PBE optimized geometry
data_Sm4Dy2Y
_cell_length_a 3.587
_cell_length_b 21.644
_cell_length_c 12.255
_cell_angle_alpha 90.00
_cell_angle_beta 90.00
_cell_angle_gamma 90.00
_space_group_name_H-M_alt 'C m c m'
_space_group_IT_number 63
_space_group_name_Hall '-C 2c 2'
loop_
_atom_site_label
_atom_site_fract_x
_atom_site_fract_y
_atom_site_fract_z
Sm1 0.000 0.000 0.000
Sm2 0.000 0.236 0.122
Sm3 0.000 0.435 0.750
Dy1 0.000 0.373 0.010
Y1 0.000 0.107 0.750
# **ΔE_f**: 0.19 eV per atom
# **E above lowest polymorph**: 69 meV/atom
# **Crystal system**: orthorhombic

Record 12
# SmDy2Y12 GGA-PBE optimized geometry
data_SmDy2Y12
_cell_length_a 7.088
_cell_length_b 11.347
_cell_length_c 24.761
_cell_angle_alpha 90.00
_cell_angle_beta 90.00
_cell_angle_gamma 90.00
_space_group_name_H-M_alt 'C m m e'
_space_group_IT_number 67
_space_group_name_Hall '-C 2a 2'
loop_
_atom_site_label
_atom_site_fract_x
_atom_site_fract_y
_atom_site_fract_z
Sm1 0.000 0.250 0.000
Dy1 0.000 0.250 0.266
Dy2 0.000 0.250 0.731
Y1 0.000 0.001 0.078
Y2 0.000 0.014 0.561
Y3 0.239 0.250 0.413
Y4 0.250 0.000 0.200
Y5 0.250 0.000 0.327
Y6 0.250 0.250 0.129
# **ΔE_f**: 0.18 eV per atom
# **Crystal system**: orthorhombic

Among the records above, which one has the lowest ΔE_f? Sm2DyY